No. 1
Here is a relaxed structure of RbAgTe2S4 from the Alexandria database. Energies are from PBE.

abc: 6.8870 6.9603 6.9603
angles: 91.40 60.35 60.35
Positions (direct):
Rb  0.0000  0.0000  0.0000
Ag  0.0000  0.5000  0.5000
Te  0.5000  0.7487  0.2513
Te  0.5000  0.2513  0.7487
S  0.5795  0.5532  0.8704
S  0.4205  0.1296  0.4468
S  0.0031  0.4468  0.1296
S  0.9969  0.8704  0.5532

=====

No. 2
Here is a relaxed structure of Rb2AgTeS4 from the Alexandria database. Energies are from PBE.

abc: 6.2455 7.6919 12.5235
angles: 84.19 75.56 66.05
Positions (direct):
Rb  0.1800  0.0000  0.6400
Rb  0.8200  0.0000  0.3600
Rb  0.5700  0.5000  0.8600
Rb  0.9300  0.5000  0.1400
Ag  0.7500  0.5000  0.5000
Ag  0.0000  0.0000  0.0000
Te  0.2500  0.5000  0.5000
Te  0.5000  0.0000  0.0000
S  0.3266  0.7851  0.1091
S  0.2208  0.2149  0.8909
S  0.8883  0.7851  0.8909
S  0.5643  0.2149  0.1091
S  0.4234  0.7149  0.3909
S  0.5292  0.2851  0.6091
S  0.8617  0.7149  0.6091
S  0.1857  0.2851  0.3909

=====

No. 3
Here is a relaxed structure of RbAgTeS2 from the Alexandria database. Energies are from PBE.

abc: 4.9678 8.5818 8.8343
angles: 119.06 90.00 90.00
Positions (direct):
Rb  0.1552  0.7500  0.5000
Rb  0.8448  0.2500  0.5000
Ag  0.0000  0.0000  0.0000
Ag  0.0000  0.5000  0.0000
Te  0.5000  0.7500  0.0000
Te  0.5000  0.2500  0.0000
S  0.6397  0.8932  0.7863
S  0.6397  0.6068  0.2137
S  0.3603  0.3932  0.7863
S  0.3603  0.1068  0.2137

=====

No. 4
Here is a relaxed structure of Rb2ThAgS4 from the Alexandria database. Energies are from PBE.

abc: 8.3038 8.3038 8.5732
angles: 114.12 114.12 90.26
Positions (direct):
Rb  0.5000  0.0000  0.0000
Rb  0.5000  0.0000  0.5000
Rb  0.0000  0.0000  0.5000
Rb  0.5000  0.5000  0.0000
Th  0.0000  0.5000  0.0000
Th  0.0000  0.5000  0.5000
Ag  0.5000  0.5000  0.5000
Ag  0.0000  0.0000  0.0000
S  0.1702  0.7181  0.9068
S  0.7819  0.3298  0.5932
S  0.2181  0.6702  0.4068
S  0.8298  0.2819  0.0932
S  0.8212  0.7816  0.0387
S  0.7184  0.6788  0.4613
S  0.2816  0.3212  0.5387
S  0.1788  0.2184  0.9613

=====

No. 5
Here is a relaxed structure of Rb4Th3AgS8 from the Alexandria database. Energies are from PBE.

abc: 8.3848 9.0896 8.3893
angles: 117.50 119.98 90.00
Positions (direct):
Rb  0.5000  0.0000  0.0000
Rb  0.5000  0.0000  0.5000
Rb  0.0000  0.0000  0.0000
Rb  0.0000  0.0000  0.5000
Th  0.5000  0.5000  0.0000
Th  0.5000  0.5000  0.5000
Th  0.0000  0.5000  0.5000
Ag  0.0000  0.5000  0.0000
S  0.2393  0.6962  0.9568
S  0.2398  0.6966  0.4796
S  0.2673  0.3017  0.5346
S  0.7175  0.6962  0.9568
S  0.2825  0.3038  0.0432
S  0.7327  0.6983  0.4654
S  0.7602  0.3034  0.5204
S  0.7607  0.3038  0.0432

=====

No. 6
Here is a relaxed structure of RbTiAg2S4 from the Alexandria database. Energies are from PBE.

abc: 6.4995 6.4353 6.4353
angles: 82.47 59.67 59.67
Positions (direct):
Rb  0.0000  0.0000  0.0000
Ti  0.0000  0.5000  0.5000
Ag  0.5000  0.6794  0.3206
Ag  0.5000  0.3206  0.6794
S  0.6174  0.5344  0.8501
S  0.3826  0.1499  0.4656
S  0.0019  0.4656  0.1499
S  0.9981  0.8501  0.5344

=====

What did we get for uncorrected formation energy? Answer: -173, -362, -251, -1106, -1508, -699 meV/atom, in the order shown.
What did we get for calculated total energy? Answer: -28.0, -54.7, -32.9, -75.1, -86.1, -36.7 eV per cell, in the order shown.